AcPm2Sm8 | PBE | optimized geometry

```
AcPm2Sm8
1.0
-1.9629 -3.1385 -4.2441
3.6214 -6.8680 3.4041
-7.6234 3.5209 4.6585
Sm Pm Ac
8 2 1
direct
0.3560 0.5591 0.7119
0.0000 0.7031 0.0000
0.6440 0.4409 0.2881
0.1597 0.1598 0.3195
0.3559 0.1528 0.7118
0.8403 0.8402 0.6805
0.6441 0.8472 0.2882
0.0000 0.2969 0.0000
0.2001 0.7000 0.4001
0.7999 0.3000 0.5999
0.5000 0.0000 0.0000
```

Calculated values
The symmetry is Immm, No. 71. The energy above the most stable polymorph in this dataset comes out at 0 meV per atom. The value obtained for the total energy is -4.546 eV per atom. For the energy of formation, the calculation gives 123 meV/atom. As for the density of states at the Fermi level: 1.3908 states/eV/atom.